NiC2F GGA+U optimized geometry; Fermi-level density of states = 3.15 states/eV per cell; polymorph energy (0 for the lowest one) = 0 meV per atom; energy = -3.89 eV/atom; total magnetization = 0.0 μB/f.u.
1.0
-0.575 2.742 3.351
-4.238 0.335 -1.001
-3.391 -2.219 4.081
Ni C F
2 4 2
Cartesian
0.000 0.000 0.000 Ni
-3.186 1.031 4.304 Ni
-1.789 1.452 3.296 C
-3.516 -0.253 0.507 C
-3.960 -0.541 4.034 C
-7.142 1.059 5.026 C
-2.406 1.539 1.175 F
-5.018 -0.172 2.128 F